# 1
# ZrNi2Cl

A geometry-optimized ZrNi2Cl structure (PBE, Alexandria via LeMat-Bulk).

## Properties
The space-group type is C2/m. Its formation energy from raw total energies is 19.2 meV/atom. As for the density of states at the Fermi level: 3.94 states/eV per cell. The excess energy over the best structure of this formula in the dataset comes out at 134 kJ/mol of formula units. The final energy is -5.4701 eV/atom.

Structure (POSCAR):
```
ZrNi2Cl
1.0
5.4993 0.0018 0.0029
-3.0898 4.5492 0.0029
0.7776 1.4688 2.4586
Cl Ni Zr
1 2 1
direct
0.0000 0.5000 0.5000
0.0000 0.0000 0.0000
0.5000 0.5000 0.0000
0.5000 0.0000 0.5000
```

# 2
# Cs2LaTe2

A geometry-optimized Cs2LaTe2 structure (PBE, Alexandria via LeMat-Bulk).

## Properties
The space-group type is P4/mbm. Its formation energy from raw total energies is -976.5 meV/atom. As for the density of states at the Fermi level: 1.81 states/eV per cell. The excess energy over the best structure of this formula in the dataset comes out at 0 kJ/mol of formula units. The final energy is -3.5600 eV/atom.

Structure (POSCAR):
```
Cs2LaTe2
1.0
8.9297 0.0000 0.0000
0.0000 8.9297 0.0000
0.0000 0.0000 5.8371
Cs Te La
4 4 2
direct
0.6420 0.1420 0.5000
0.1420 0.3580 0.5000
0.8580 0.6420 0.5000
0.3580 0.8580 0.5000
0.1783 0.6783 0.0000
0.6783 0.8217 0.0000
0.8217 0.3217 0.0000
0.3217 0.1783 0.0000
0.0000 0.0000 0.0000
0.5000 0.5000 0.0000
```

# 3
# NpZnAu6

A geometry-optimized NpZnAu6 structure (PBE, Alexandria via LeMat-Bulk).

## Properties
The space-group type is P4/mmm. As for the density of states at the Fermi level: 11.53 states/eV per cell. The final energy is -4.2951 eV/atom. The calculation puts the formation energy at -0.06 eV per atom.

Structure (POSCAR):
```
NpZnAu6
1.0
4.0220 0.0000 0.0000
0.0000 4.0220 0.0000
0.0000 0.0000 10.2622
Au Np Zn
6 1 1
direct
0.5000 0.5000 0.1307
0.5000 0.5000 0.8693
0.0000 0.5000 0.6723
0.5000 0.0000 0.3277
0.0000 0.5000 0.3277
0.5000 0.0000 0.6723
0.0000 0.0000 0.0000
0.0000 0.0000 0.5000
```

# 4
# ScCrNiGe

A geometry-optimized ScCrNiGe structure (PBE, Alexandria via LeMat-Bulk).

## Properties
The space-group type is Imm2. As for the density of states at the Fermi level: 6.81 states/eV per cell. The excess energy over the best structure of this formula in the dataset comes out at 20 kJ/mol of formula units. The final energy is -6.8055 eV/atom. The calculation puts the formation energy at -0.22 eV per atom.

Structure (POSCAR):
```
ScCrNiGe
1.0
-1.3682 1.2165 3.6223
0.1007 -3.0752 1.0707
9.9087 0.0384 -0.8213
Ni Cr Sc Ge
2 2 2 2
direct
0.1967 0.5000 0.9109
0.1967 0.0000 0.4109
0.9431 0.0000 0.6567
0.9431 0.5000 0.1567
0.6742 0.5000 0.3882
0.6742 0.0000 0.8882
0.4036 0.0000 0.1171
0.4036 0.5000 0.6171
```

# 5
# Tl3ZnBr5

A geometry-optimized Tl3ZnBr5 structure (PBE, Alexandria via LeMat-Bulk).

## Properties
The space-group type is I4/mcm. Its formation energy from raw total energies is -865.3 meV/atom. As for the density of states at the Fermi level: 0.00 states/eV per cell. The final energy is -2.7249 eV/atom.

Structure (POSCAR):
```
Tl3ZnBr5
1.0
7.7617 0.0000 -4.2702
-2.3493 7.3976 -4.2702
0.3914 0.5350 9.9005
Tl Br Zn
6 10 2
direct
0.1577 0.3423 0.0000
0.2500 0.2500 0.5000
0.7500 0.7500 0.5000
0.3423 0.8423 0.0000
0.8423 0.6577 0.0000
0.6577 0.1577 0.0000
0.3062 0.8062 0.3061
0.1938 0.0001 0.6939
0.8062 0.9999 0.3061
0.5001 0.6938 0.6939
0.0001 0.5001 0.6939
0.6938 0.1938 0.6939
0.9999 0.4999 0.3061
0.4999 0.3062 0.3061
0.0000 0.0000 0.0000
0.5000 0.5000 0.0000
0.2500 0.7500 0.5000
0.7500 0.2500 0.5000
```

# 6
# K4Mg3PbF12

A geometry-optimized K4Mg3PbF12 structure (PBE, Alexandria via LeMat-Bulk).

## Properties
The space-group type is Im-3m. Its formation energy from raw total energies is -3051.7 meV/atom. As for the density of states at the Fermi level: 0.00 states/eV per cell. The final energy is -4.8186 eV/atom.

Structure (POSCAR):
```
K4Mg3PbF12
1.0
7.3853 0.0000 0.0000
-2.4618 6.9629 0.0000
-2.4618 -3.4815 6.0301
Pb F Mg K
1 12 3 4
direct
0.0000 0.0000 0.0000
0.7242 0.0000 0.7242
0.2758 0.2758 0.0000
0.7500 0.2500 0.5000
0.2500 0.7500 0.5000
0.0000 0.7242 0.7242
0.0000 0.2758 0.2758
0.7242 0.7242 0.0000
0.5000 0.2500 0.7500
0.2758 0.0000 0.2758
0.7500 0.5000 0.2500
0.5000 0.7500 0.2500
0.2500 0.5000 0.7500
0.0000 0.5000 0.5000
0.5000 0.0000 0.5000
0.5000 0.5000 0.0000
0.5000 0.0000 0.0000
0.0000 0.5000 0.0000
0.0000 0.0000 0.5000
0.5000 0.5000 0.5000
```

# 7
# Tl5In3Hg

A geometry-optimized Tl5In3Hg structure (PBE, Alexandria via LeMat-Bulk).

## Properties
The space-group type is I4/mcm. As for the density of states at the Fermi level: 9.51 states/eV per cell. The final energy is -2.1819 eV/atom. The calculation puts the formation energy at 0.08 eV per atom.

Structure (POSCAR):
```
Tl5In3Hg
1.0
-1.5329 -7.2173 -3.3451
7.5924 -2.3442 1.5785
-5.5151 1.8116 8.4285
Hg In Tl
2 6 10
direct
0.2500 0.7500 0.5000
0.7500 0.2500 0.5000
0.3742 0.8742 0.0000
0.2500 0.2500 0.5000
0.1258 0.3742 0.0000
0.7500 0.7500 0.5000
0.6258 0.1258 0.0000
0.8742 0.6258 0.0000
0.6401 0.1401 0.7099
0.3599 0.8599 0.2901
0.9302 0.4302 0.2901
0.8599 0.9302 0.2901
0.0000 0.0000 0.0000
0.0698 0.5698 0.7099
0.5698 0.6401 0.7099
0.5000 0.5000 0.0000
0.4302 0.3599 0.2901
0.1401 0.0698 0.7099
```